The following is a PBE-GGA calculation of a relaxed structure of InSbW2, from Alexandria via LeMat-Bulk.

Geometry as extended XYZ:
```
4
Lattice="-2.104 2.104 4.212 2.104 -2.104 4.212 2.104 2.104 -4.212" Properties=species:S:1:pos:R:3 pbc="T T T"
In 0.000 0.000 0.000
Sb 2.104 0.000 2.106
W 0.000 0.000 4.212
W 0.000 2.104 2.106
```

Results
Volume: 18.6 Å³ per atom
Energy above the lowest structure with this stoichiometry: 481 meV per atom
Theoretical density: 13.45 g/cm³
E: -7.390 eV per atom
Raw formation energy: 802 meV/atom

***

The following is a PBE-GGA calculation of a relaxed structure of InSb2W, from Alexandria via LeMat-Bulk.

Geometry as extended XYZ:
```
4
Lattice="3.355 0.000 0.000 0.000 3.355 0.000 0.000 0.000 8.330" Properties=species:S:1:pos:R:3 pbc="T T T"
In 0.000 0.000 0.000
Sb 1.677 1.677 2.524
Sb 1.677 1.677 5.806
W 0.000 0.000 4.165
```

Results
Volume: 23.4 Å³ per atom
Theoretical density: 9.60 g/cm³
E: -5.698 eV per atom
Raw formation energy: 286 meV/atom

***

The following is a PBE-GGA calculation of a relaxed structure of InSbW2, from Alexandria via LeMat-Bulk.

Geometry as extended XYZ:
```
4
Lattice="0.000 3.323 3.323 3.323 0.000 3.323 3.323 3.323 0.000" Properties=species:S:1:pos:R:3 pbc="T T T"
In 0.000 0.000 0.000
Sb 3.323 3.323 3.323
W 1.662 1.662 1.662
W 4.985 4.985 4.985
```

Results
Volume: 18.3 Å³ per atom
Energy above the lowest structure with this stoichiometry: 522 meV per atom
Theoretical density: 13.67 g/cm³
E: -7.348 eV per atom
Raw formation energy: 844 meV/atom

***

The following is a PBE-GGA calculation of a relaxed structure of InSb2W, from Alexandria via LeMat-Bulk.

Geometry as extended XYZ:
```
4
Lattice="1.664 0.961 10.213 -1.664 0.961 10.213 0.000 -1.922 10.213" Properties=species:S:1:pos:R:3 pbc="T T T"
In 0.000 0.000 0.000
Sb 0.000 0.000 7.143
Sb 0.000 0.000 23.497
W 0.000 0.000 15.320
```

Results
Volume: 24.5 Å³ per atom
Theoretical density: 9.19 g/cm³
E: -5.689 eV per atom
Raw formation energy: 295 meV/atom

***

The following is a PBE-GGA calculation of a relaxed structure of InSbW2, from Alexandria via LeMat-Bulk.

Geometry as extended XYZ:
```
4
Lattice="4.773 -1.651 0.000 4.773 1.651 0.000 -0.567 0.000 4.835" Properties=species:S:1:pos:R:3 pbc="T T T"
In 0.000 0.000 0.000
Sb 4.489 0.000 2.417
W 1.977 0.000 3.650
W 7.001 0.000 1.185
```

Results
Volume: 19.0 Å³ per atom
Energy above the lowest structure with this stoichiometry: 423 meV per atom
Theoretical density: 13.17 g/cm³
E: -7.447 eV per atom
Raw formation energy: 744 meV/atom

***

The following is a PBE-GGA calculation of a relaxed structure of InSb2W, from Alexandria via LeMat-Bulk.

Geometry as extended XYZ:
```
4
Lattice="4.908 0.000 0.000 0.000 1.864 5.018 0.000 -1.864 5.018" Properties=species:S:1:pos:R:3 pbc="T T T"
In 0.000 0.000 0.000
Sb 0.000 0.000 2.787
Sb 2.454 0.000 6.936
W 2.454 0.000 4.090
```

Results
Volume: 22.9 Å³ per atom
Theoretical density: 9.81 g/cm³
E: -5.489 eV per atom
Raw formation energy: 495 meV/atom

***

The following is a PBE-GGA calculation of a relaxed structure of InSbW2, from Alexandria via LeMat-Bulk.

Geometry as extended XYZ:
```
8
Lattice="-2.062 2.062 9.931 2.062 -2.062 9.931 2.062 2.062 -9.931" Properties=species:S:1:pos:R:3 pbc="T T T"
In 0.000 0.000 0.000
In 0.000 2.062 4.966
Sb 2.062 0.000 4.966
Sb 0.000 0.000 9.931
W 3.093 0.806 -2.483
W 0.806 1.031 2.483
W -1.031 1.256 7.449
W 1.256 1.031 12.414
```

Results
Volume: 21.1 Å³ per atom
Energy above the lowest structure with this stoichiometry: 612 meV per atom
Theoretical density: 11.88 g/cm³
E: -7.258 eV per atom
Raw formation energy: 934 meV/atom

***

The following is a PBE-GGA calculation of a relaxed structure of InSb2W, from Alexandria via LeMat-Bulk.

Geometry as extended XYZ:
```
4
Lattice="-2.685 2.685 3.050 2.685 -2.685 3.050 2.685 2.685 -3.050" Properties=species:S:1:pos:R:3 pbc="T T T"
In 0.000 0.000 0.000
Sb 2.685 0.000 1.525
Sb 0.000 2.685 1.525
W 0.000 0.000 3.050
```

Results
Volume: 22.0 Å³ per atom
Theoretical density: 10.24 g/cm³
E: -5.311 eV per atom
Raw formation energy: 674 meV/atom